# Y2MgSbN (PBE, optimized geometry)
# E_form (uncorrected)	-927	meV/atom
# calculated total energy	-6.32	eV per atom
data_Y2MgSbN
_chemical_formula_sum 'Y2 Mg1 Sb1 N1'
_cell_length_a 4.895
_cell_length_b 4.895
_cell_length_c 4.286
_cell_angle_alpha 90.00
_cell_angle_beta 90.00
_cell_angle_gamma 90.00
_symmetry_space_group_name_H-M 'P 4/m m m'
_symmetry_Int_Tables_number 123
_symmetry_space_group_name_Hall '-P 4 2'
loop_
_atom_site_label
_atom_site_type_symbol
_atom_site_fract_x
_atom_site_fract_y
_atom_site_fract_z
Y1 Y 0.000 0.500 0.000
Mg1 Mg 0.000 0.000 0.500
Sb1 Sb 0.500 0.500 0.500
N1 N 0.000 0.000 0.000